Record 1
VASP calculation (GGA-PBEsol) on a geometry-optimized Mn3TeW structure.

```
Mn3TeW
1.0
4.6508 0.0000 0.0000
0.0000 4.6508 0.0000
0.0000 0.0000 4.6508
Mn Te W
3 1 1
direct
0.0000 0.0000 0.5000
0.0000 0.5000 0.0000
0.5000 0.0000 0.0000
0.0000 0.0000 0.0000
0.5000 0.5000 0.5000
```

Raw formation energy   1.889 eV per atom
M_tot   6.2 μB per formula unit

---

Record 2
VASP calculation (GGA-PBEsol) on a geometry-optimized Mn2TeW structure.

```
Mn2TeW
1.0
3.2917 0.0000 0.0000
0.0000 3.2917 0.0000
0.0000 0.0000 5.5432
Mn Te W
2 1 1
direct
0.0000 0.0000 0.2275
0.0000 0.0000 0.7725
0.5000 0.5000 0.5000
0.5000 0.5000 0.0000
```

Raw formation energy   0.397 eV per atom
M_tot   3.9 μB per formula unit

---

Record 3
VASP calculation (GGA-PBEsol) on a geometry-optimized MnTe4W structure.

```
MnTe4W
1.0
0.0000 4.3039 4.3039
4.3039 0.0000 4.3039
4.3039 4.3039 0.0000
Mn Te W
1 4 1
direct
0.0000 0.0000 0.0000
0.3753 0.3753 0.3753
0.3753 0.3753 0.8740
0.3753 0.8740 0.3753
0.8740 0.3753 0.3753
0.7500 0.7500 0.7500
```

Raw formation energy   1.563 eV per atom
M_tot   1.1 μB per formula unit

---

Record 4
VASP calculation (GGA-PBEsol) on a geometry-optimized Y2MnTe structure.

```
Y2MnTe
1.0
1.9648 1.1344 7.7972
-1.9648 1.1344 7.7972
0.0000 -2.2688 7.7972
Y Mn Te
2 1 1
direct
0.2462 0.2462 0.2462
0.7538 0.7538 0.7538
0.5000 0.5000 0.5000
0.0000 0.0000 0.0000
```

Raw formation energy   -0.286 eV per atom
M_tot   3.6 μB per formula unit

---

Record 5
VASP calculation (GGA-PBEsol) on a geometry-optimized Y2MnTe structure.

```
Y2MnTe
1.0
3.5992 -3.6314 0.0000
3.5992 3.6314 0.0000
0.0000 0.0000 3.6237
Y Mn Te
2 1 1
direct
0.0000 0.5000 0.0000
0.5000 0.0000 0.0000
0.0000 0.0000 0.5000
0.5000 0.5000 0.5000
```

Raw formation energy   -0.329 eV per atom
M_tot   2.7 μB per formula unit

---

Record 6
VASP calculation (GGA-PBEsol) on a geometry-optimized MnZnTe3 structure.

```
MnZnTe3
1.0
5.1930 0.0000 0.0000
0.0000 5.1930 0.0000
0.0000 0.0000 5.1930
Mn Zn Te
1 1 3
direct
0.0000 0.0000 0.0000
0.5000 0.5000 0.5000
0.0000 0.5000 0.5000
0.5000 0.0000 0.5000
0.5000 0.5000 0.0000
```

Raw formation energy   0.723 eV per atom
M_tot   4.8 μB per formula unit

---

Record 7
VASP calculation (GGA-PBEsol) on a geometry-optimized MnZnTe2 structure.

```
MnZnTe2
1.0
4.8753 0.0000 0.0000
0.0000 4.8753 0.0000
0.0000 0.0000 3.5526
Mn Zn Te
1 1 2
direct
0.0000 0.0000 0.0000
0.5000 0.5000 0.0000
0.0000 0.5000 0.5000
0.5000 0.0000 0.5000
```

Raw formation energy   0.326 eV per atom
M_tot   4.1 μB per formula unit

---

Record 8
VASP calculation (GGA-PBEsol) on a geometry-optimized MnZnTe2 structure.

```
MnZnTe2
1.0
2.1731 1.2546 7.1174
-2.1731 1.2546 7.1174
0.0000 -2.5093 7.1174
Mn Zn Te
1 1 2
direct
0.0000 0.0000 0.0000
0.5011 0.5011 0.5011
0.3778 0.3778 0.3778
0.8745 0.8745 0.8745
```

Raw formation energy   -0.114 eV per atom
M_tot   5.0 μB per formula unit

---

Record 9
VASP calculation (GGA-PBEsol) on a geometry-optimized MnZnTe2 structure.

```
MnZnTe2
1.0
4.3375 0.0000 0.0000
0.0000 4.3375 0.0000
0.0000 0.0000 6.1794
Mn Zn Te
1 1 2
direct
0.0000 0.0000 0.0000
0.5000 0.5000 0.5000
0.0000 0.5000 0.2561
0.5000 0.0000 0.7439
```

Raw formation energy   -0.120 eV per atom
M_tot   5.0 μB per formula unit

---

Record 10
VASP calculation (GGA-PBEsol) on a geometry-optimized MnZn2Te structure.

```
MnZn2Te
1.0
4.7766 -1.8965 0.0000
4.7766 1.8965 0.0000
-0.6355 0.0000 3.9309
Mn Zn Te
1 2 1
direct
0.0000 0.0000 0.0000
0.2519 0.2519 0.7895
0.7481 0.7481 0.2105
0.5000 0.5000 0.5000
```

Raw formation energy   0.258 eV per atom
M_tot   3.5 μB per formula unit

---

Record 11
VASP calculation (GGA-PBEsol) on a geometry-optimized Zr3MnTe structure.

```
Zr3MnTe
1.0
5.1850 0.0000 0.0000
0.0000 5.1850 0.0000
0.0000 0.0000 5.1850
Zr Mn Te
3 1 1
direct
0.0000 0.0000 0.5000
0.0000 0.5000 0.0000
0.5000 0.0000 0.0000
0.5000 0.5000 0.5000
0.0000 0.0000 0.0000
```

Raw formation energy   0.914 eV per atom
M_tot   3.7 μB per formula unit

---

Record 12
VASP calculation (GGA-PBEsol) on a geometry-optimized Zr6MnTe2 structure.

```
Zr6MnTe2
1.0
7.7230 0.0000 0.0000
-3.8615 6.6883 0.0000
0.0000 0.0000 3.5737
Zr Mn Te
6 1 2
direct
0.0000 0.2408 0.0000
0.0000 0.5963 0.5000
0.2408 0.0000 0.0000
0.4037 0.4037 0.5000
0.5963 0.0000 0.5000
0.7592 0.7592 0.0000
0.0000 0.0000 0.5000
0.3333 0.6667 0.0000
0.6667 0.3333 0.0000
```

Raw formation energy   -0.541 eV per atom
M_tot   1.3 μB per formula unit

---

Record 13
VASP calculation (GGA-PBEsol) on a geometry-optimized ZrMn3Te structure.

```
ZrMn3Te
1.0
4.7020 0.0000 0.0000
0.0000 4.7020 0.0000
0.0000 0.0000 4.7020
Zr Mn Te
1 3 1
direct
0.0000 0.0000 0.0000
0.0000 0.0000 0.5000
0.0000 0.5000 0.0000
0.5000 0.0000 0.0000
0.5000 0.5000 0.5000
```

Raw formation energy   1.394 eV per atom
M_tot   8.8 μB per formula unit

---

Record 14
VASP calculation (GGA-PBEsol) on a geometry-optimized TiMn2 structure.

```
TiMn2
1.0
4.6731 0.0000 0.0000
-2.3366 4.0471 0.0000
0.0000 0.0000 7.7077
Ti Mn
4 8
direct
0.3333 0.6667 0.0629
0.3333 0.6667 0.4371
0.6667 0.3333 0.5629
0.6667 0.3333 0.9371
0.0000 0.0000 0.0000
0.0000 0.0000 0.5000
0.1720 0.3440 0.7500
0.1720 0.8280 0.7500
0.3440 0.1720 0.2500
0.6560 0.8280 0.7500
0.8280 0.1720 0.2500
0.8280 0.6560 0.2500
```

M_tot   0.0 μB per formula unit
E_form   -269 meV per atom

---

Record 15
VASP calculation (GGA-PBEsol) on a geometry-optimized Ti2MnTl structure.

```
Ti2MnTl
1.0
0.0000 3.1748 3.1748
3.1748 0.0000 3.1748
3.1748 3.1748 0.0000
Ti Mn Tl
2 1 1
direct
0.2500 0.2500 0.2500
0.7500 0.7500 0.7500
0.0000 0.0000 0.0000
0.5000 0.5000 0.5000
```

M_tot   0.3 μB per formula unit
E_form   117 meV per atom

---

Record 16
VASP calculation (GGA-PBEsol) on a geometry-optimized TiMn3Tl structure.

```
TiMn3Tl
1.0
4.4827 0.0000 0.0000
0.0000 4.4827 0.0000
0.0000 0.0000 4.4827
Ti Mn Tl
1 3 1
direct
0.0000 0.0000 0.0000
0.0000 0.0000 0.5000
0.0000 0.5000 0.0000
0.5000 0.0000 0.0000
0.5000 0.5000 0.5000
```

M_tot   8.0 μB per formula unit
E_form   1145 meV per atom

---

Record 17
VASP calculation (GGA-PBEsol) on a geometry-optimized TiMn2V structure.

```
TiMn2V
1.0
0.0000 2.8847 2.8847
2.8847 0.0000 2.8847
2.8847 2.8847 0.0000
Ti Mn V
1 2 1
direct
0.0000 0.0000 0.0000
0.2500 0.2500 0.2500
0.7500 0.7500 0.7500
0.5000 0.5000 0.5000
```

M_tot   0.2 μB per formula unit
E_form   -271 meV per atom

---

Record 18
VASP calculation (GGA-PBEsol) on a geometry-optimized TiMn2W structure.

```
TiMn2W
1.0
0.0000 2.9442 2.9442
2.9442 0.0000 2.9442
2.9442 2.9442 0.0000
Ti Mn W
1 2 1
direct
0.0000 0.0000 0.0000
0.2500 0.2500 0.2500
0.7500 0.7500 0.7500
0.5000 0.5000 0.5000
```

M_tot   0.0 μB per formula unit
E_form   -229 meV per atom

---

Record 19
VASP calculation (GGA-PBEsol) on a geometry-optimized TiMn3W structure.

```
TiMn3W
1.0
4.1006 0.0000 0.0000
0.0000 4.1006 0.0000
0.0000 0.0000 4.1006
Ti Mn W
1 3 1
direct
0.0000 0.0000 0.0000
0.0000 0.0000 0.5000
0.0000 0.5000 0.0000
0.5000 0.0000 0.0000
0.5000 0.5000 0.5000
```

M_tot   0.2 μB per formula unit
E_form   1417 meV per atom

---

Record 20
VASP calculation (GGA-PBEsol) on a geometry-optimized TiMn3Zn structure.

```
TiMn3Zn
1.0
4.3479 0.0000 0.0000
0.0000 4.3479 0.0000
0.0000 0.0000 4.3479
Ti Mn Zn
1 3 1
direct
0.0000 0.0000 0.0000
0.0000 0.0000 0.5000
0.0000 0.5000 0.0000
0.5000 0.0000 0.0000
0.5000 0.5000 0.5000
```

M_tot   7.7 μB per formula unit
E_form   1241 meV per atom